(1)
Computed, not measured: a relaxed Ac12La7Y crystal at the PBE level of DFT.

Summary:
E above lowest polymorph ... 0.473 eV per atom
Energy of formation ... 0.595 eV per atom
Total moment ... 0.00 Bohr magnetons per cell
E ... -0.2880 Ry/atom

abc: 10.626 10.626 10.626
angles: 109.47 109.47 109.47
Positions (direct):
Ac 0.728 0.800 0.528
Ac 0.728 0.200 0.927
Ac 0.272 0.200 0.472
Ac 0.272 0.800 0.073
Ac 0.073 0.272 0.800
Ac 0.528 0.728 0.800
Ac 0.927 0.728 0.200
Ac 0.472 0.272 0.200
Ac 0.800 0.528 0.728
Ac 0.200 0.472 0.272
Ac 0.200 0.927 0.728
Ac 0.800 0.073 0.272
La 0.500 0.000 0.500
La 0.500 0.500 0.000
La 0.000 0.500 0.500
La 0.500 0.500 0.500
La 0.000 0.500 0.000
La 0.000 0.000 0.500
La 0.500 0.000 0.000
Y 0.000 0.000 0.000

=====

(2)
Computed, not measured: a relaxed AcLa4Y8 crystal at the PBE level of DFT.

Summary:
Energy of formation ... 0.540 eV per atom
Total moment ... 2.94 Bohr magnetons per cell
E ... -0.3873 Ry/atom

abc: 7.961 7.961 7.961
angles: 90.09 90.09 90.09
Site moments in Bohr magnetons follow the coordinates.
Positions (direct):
Ac 0.500 0.500 0.500  0.05
La 0.500 0.000 0.500  0.23
La 0.000 0.500 0.500  0.23
La 0.500 0.500 0.000  0.23
La 0.000 0.000 0.000  -0.07
Y 0.238 0.761 0.238  0.11
Y 0.762 0.762 0.239  0.11
Y 0.762 0.239 0.762  0.11
Y 0.239 0.762 0.762  0.11
Y 0.762 0.762 0.762  0.10
Y 0.238 0.238 0.238  0.10
Y 0.761 0.238 0.238  0.11
Y 0.238 0.238 0.761  0.11

=====

(3)
Computed, not measured: a relaxed AcLa4Y4 crystal at the PBE level of DFT.

Summary:
Energy of formation ... 0.033 eV per atom
Total moment ... 0.00 Bohr magnetons per cell
E ... -0.4033 Ry/atom

abc: 11.077 9.783 11.096
angles: 104.45 87.00 144.98
Positions (direct):
Ac 0.446 0.364 0.697
Ac 0.554 0.636 0.303
La 0.220 0.803 0.471
La 0.332 0.078 0.082
La 0.889 0.975 0.642
La 0.996 0.252 0.248
La 0.004 0.748 0.752
La 0.111 0.025 0.358
La 0.668 0.922 0.918
La 0.780 0.197 0.529
Y 0.114 0.530 0.864
Y 0.441 0.862 0.192
Y 0.327 0.583 0.585
Y 0.218 0.303 0.973
Y 0.673 0.417 0.415
Y 0.782 0.697 0.027
Y 0.886 0.470 0.136
Y 0.559 0.138 0.808

=====

(4)
Computed, not measured: a relaxed Ac2La2Y3 crystal at the PBE level of DFT.

Summary:
Energy of formation ... 0.163 eV per atom
Total moment ... 0.00 Bohr magnetons per cell
E ... -0.3814 Ry/atom

abc: 13.103 9.097 9.535
angles: 90.00 90.00 152.35
Positions (direct):
Ac 0.630 0.568 0.817
Ac 0.130 0.568 0.683
Ac 0.870 0.432 0.317
Ac 0.370 0.432 0.183
La 0.620 0.829 0.521
La 0.120 0.829 0.979
La 0.880 0.171 0.021
La 0.380 0.171 0.479
Y 0.000 0.000 0.500
Y 0.500 0.000 0.000
Y 0.771 0.658 0.166
Y 0.729 0.342 0.666
Y 0.271 0.658 0.334
Y 0.229 0.342 0.834

=====

(5)
Computed, not measured: a relaxed Ac8LaY6 crystal at the PBE level of DFT.

Summary:
Energy of formation ... 0.238 eV per atom
Total moment ... 0.00 Bohr magnetons per cell
E ... -0.3577 Ry/atom

abc: 7.140 10.074 10.074
angles: 120.00 90.00 90.00
Positions (direct):
Ac 0.887 0.950 0.308
Ac 0.887 0.692 0.641
Ac 0.887 0.359 0.050
Ac 0.113 0.050 0.692
Ac 0.113 0.308 0.359
Ac 0.113 0.641 0.950
Ac 0.727 0.333 0.667
Ac 0.273 0.667 0.333
La 0.500 0.000 0.000
Y 0.598 0.669 0.037
Y 0.598 0.963 0.632
Y 0.598 0.368 0.331
Y 0.402 0.331 0.963
Y 0.402 0.037 0.368
Y 0.402 0.632 0.669

=====

(6)
Computed, not measured: a relaxed Ac2La6Y5 crystal at the PBE level of DFT.

Summary:
Energy of formation ... 0.112 eV per atom
Total moment ... 0.00 Bohr magnetons per cell
E ... -0.3881 Ry/atom

abc: 3.740 12.285 20.928
angles: 90.00 90.00 90.00
Positions (direct):
Ac 0.000 0.336 0.280
Ac 0.000 0.664 0.720
Ac 0.000 0.836 0.220
Ac 0.000 0.164 0.780
La 0.000 0.068 0.362
La 0.000 0.932 0.638
La 0.000 0.568 0.138
La 0.000 0.432 0.862
La 0.500 0.315 0.119
La 0.500 0.685 0.881
La 0.500 0.815 0.381
La 0.500 0.185 0.619
La 0.000 0.548 0.425
La 0.000 0.452 0.575
La 0.000 0.048 0.075
La 0.000 0.952 0.925
Y 0.500 0.290 0.444
Y 0.500 0.710 0.556
Y 0.500 0.790 0.056
Y 0.500 0.210 0.944
Y 0.500 0.596 0.281
Y 0.500 0.404 0.719
Y 0.500 0.096 0.219
Y 0.500 0.904 0.781
Y 0.500 0.500 0.000
Y 0.500 0.000 0.500

=====

(7)
Computed, not measured: a relaxed AcLaY2 crystal at the PBE level of DFT.

Summary:
E above lowest polymorph ... 0.008 eV per atom
Energy of formation ... 0.036 eV per atom
Total moment ... 0.00 Bohr magnetons per cell
E ... -0.4009 Ry/atom

abc: 3.832 3.832 9.907
angles: 90.00 90.00 90.00
Positions (direct):
Y 0.000 0.000 0.758
Y 0.000 0.000 0.242
Ac 0.500 0.500 0.500
La 0.500 0.500 0.000

=====

(8)
Computed, not measured: a relaxed Ac2LaY2 crystal at the PBE level of DFT.

Summary:
Energy of formation ... 0.069 eV per atom
Total moment ... 0.00 Bohr magnetons per cell
E ... -0.3782 Ry/atom

abc: 12.665 6.944 9.469
angles: 103.92 144.77 96.99
Positions (direct):
Ac 0.249 0.912 0.055
Ac 0.192 0.321 0.818
Ac 0.808 0.679 0.182
Ac 0.751 0.088 0.945
La 0.220 0.455 0.248
La 0.780 0.545 0.752
Y 0.323 0.699 0.734
Y 0.268 0.098 0.510
Y 0.677 0.301 0.266
Y 0.732 0.902 0.490